Th8TcGe3Se4 | GGA-PBE | relaxed Values from VASP.

## Properties
magnetic moment = 0.00 μB per formula unit
space-group type = R-3m
E_tot = -115.32 eV for the cell shown
calculated volume = 440 Å³/cell

```
&SYSTEM
  ibrav = 0, nat = 16, ntyp = 4
/
ATOMIC_SPECIES
Th 232.04 Th.upf
Tc 98.00 Tc.upf
Ge 72.64 Ge.upf
Se 78.96 Se.upf
CELL_PARAMETERS angstrom
4.274 2.468 6.954
-4.274 2.468 6.954
0.000 -4.936 6.954
ATOMIC_POSITIONS angstrom
Th 0.000 0.000 5.156
Th -2.043 -1.179 12.029
Th 0.000 -2.359 8.832
Th -2.043 1.179 8.832
Th 2.043 -1.179 12.029
Th 0.000 2.359 12.029
Th 2.043 1.179 8.832
Th 0.000 0.000 15.705
Tc 0.000 0.000 10.431
Ge -4.274 0.000 10.431
Ge -2.137 1.234 3.477
Ge 2.137 1.234 3.477
Se 0.000 0.000 0.000
Se -2.137 -1.234 6.954
Se -2.137 1.234 13.907
Se 0.000 2.468 6.954
```



Th8Tc3GeSe4 | GGA-PBE | relaxed Values from VASP.

## Properties
magnetic moment = 0.00 μB per formula unit
space-group type = R-3m
E_tot = -123.03 eV for the cell shown
calculated volume = 439 Å³/cell

```
&SYSTEM
  ibrav = 0, nat = 16, ntyp = 4
/
ATOMIC_SPECIES
Th 232.04 Th.upf
Tc 98.00 Tc.upf
Ge 72.64 Ge.upf
Se 78.96 Se.upf
CELL_PARAMETERS angstrom
4.179 2.413 7.251
-4.179 2.413 7.251
0.000 -4.825 7.251
ATOMIC_POSITIONS angstrom
Th -2.182 -1.260 12.449
Th 0.000 0.000 5.242
Th 0.000 -2.520 9.303
Th -2.182 1.260 9.303
Th 2.182 -1.260 12.449
Th 0.000 2.520 12.449
Th 0.000 0.000 16.510
Th 2.182 1.260 9.303
Tc -4.179 0.000 10.876
Tc -2.089 1.206 3.625
Tc 2.089 1.206 3.625
Ge 0.000 0.000 10.876
Se 0.000 0.000 0.000
Se -2.089 -1.206 7.251
Se -2.089 1.206 14.501
Se 0.000 2.413 7.250
```



Th4TcGeSe2 | GGA-PBE | relaxed Values from VASP.

## Properties
magnetic moment = 0.00 μB per formula unit
space-group type = P2/m
E_tot = -59.55 eV for the cell shown
calculated volume = 220 Å³/cell

```
&SYSTEM
  ibrav = 0, nat = 8, ntyp = 4
/
ATOMIC_SPECIES
Th 232.04 Th.upf
Tc 98.00 Tc.upf
Ge 72.64 Ge.upf
Se 78.96 Se.upf
CELL_PARAMETERS angstrom
7.422 0.000 0.000
0.000 4.180 0.000
-2.341 0.000 7.085
ATOMIC_POSITIONS angstrom
Th 1.175 0.000 1.577
Th -0.023 2.090 5.466
Th 5.104 2.090 1.619
Th 3.906 0.000 5.508
Tc 0.000 2.090 0.000
Ge 3.711 0.000 0.000
Se -1.171 0.000 3.543
Se 2.541 2.090 3.543
```



Th6TcGe2Se3 | GGA-PBE | relaxed Values from VASP.

## Properties
magnetic moment = 0.00 μB per formula unit
space-group type = C2/m
E_tot = -87.47 eV for the cell shown
calculated volume = 328 Å³/cell

```
&SYSTEM
  ibrav = 0, nat = 12, ntyp = 4
/
ATOMIC_SPECIES
Th 232.04 Th.upf
Tc 98.00 Tc.upf
Ge 72.64 Ge.upf
Se 78.96 Se.upf
CELL_PARAMETERS angstrom
9.253 -2.111 0.000
9.253 2.111 0.000
-1.921 0.000 8.401
ATOMIC_POSITIONS angstrom
Th -0.437 0.000 1.914
Th 17.022 0.000 6.486
Th 5.315 0.000 3.539
Th 4.614 0.000 7.690
Th 11.971 0.000 0.711
Th 11.270 0.000 4.861
Tc 9.253 0.000 0.000
Ge 2.417 0.000 2.819
Ge 14.168 0.000 5.582
Se 1.586 0.000 7.012
Se 8.293 0.000 4.200
Se 14.999 0.000 1.389
```



TlTcGeSe2 | GGA-PBE | relaxed Values from VASP.

## Properties
magnetic moment = 4.24 μB per formula unit
space-group type = P4/mmm
E_tot = -19.20 eV for the cell shown
calculated volume = 137 Å³/cell

```
&SYSTEM
  ibrav = 0, nat = 5, ntyp = 4
/
ATOMIC_SPECIES
Tl 204.38 Tl.upf
Tc 98.00 Tc.upf
Ge 72.64 Ge.upf
Se 78.96 Se.upf
CELL_PARAMETERS angstrom
5.135 0.000 0.000
0.000 5.135 0.000
0.000 0.000 5.186
ATOMIC_POSITIONS angstrom
Tl 0.000 0.000 0.000
Tc 2.567 2.567 0.000
Ge 0.000 0.000 2.593
Se 0.000 2.567 2.593
Se 2.567 0.000 2.593
```



ZrTc2GeSe | GGA-PBE | relaxed Values from VASP.

## Properties
magnetic moment = 0.00 μB per formula unit
space-group type = P4/mmm
E_tot = -33.41 eV for the cell shown
calculated volume = 102 Å³/cell

```
&SYSTEM
  ibrav = 0, nat = 5, ntyp = 4
/
ATOMIC_SPECIES
Zr 91.22 Zr.upf
Tc 98.00 Tc.upf
Ge 72.64 Ge.upf
Se 78.96 Se.upf
CELL_PARAMETERS angstrom
4.522 0.000 0.000
0.000 4.522 0.000
0.000 0.000 4.968
ATOMIC_POSITIONS angstrom
Zr 0.000 0.000 0.000
Tc 0.000 2.261 2.484
Tc 2.261 0.000 2.484
Ge 2.261 2.261 0.000
Se 2.261 2.261 2.484
```



GeTe2Se | GGA-PBE | relaxed Values from VASP.

## Properties
magnetic moment = 0.00 μB per formula unit
space-group type = R-3m
calculated volume = 126 Å³/cell
E above lowest polymorph = 0 meV per atom

```
&SYSTEM
  ibrav = 0, nat = 4, ntyp = 3
/
ATOMIC_SPECIES
Ge 72.64 Ge.upf
Te 127.60 Te.upf
Se 78.96 Se.upf
CELL_PARAMETERS angstrom
2.039 1.177 8.726
-2.039 1.177 8.726
0.000 -2.355 8.726
ATOMIC_POSITIONS angstrom
Ge 0.000 0.000 0.000
Te 0.000 0.000 10.429
Te 0.000 0.000 15.750
Se 0.000 0.000 13.090
```



GeTe2Se | GGA-PBE | relaxed Values from VASP.

## Properties
magnetic moment = 0.00 μB per formula unit
space-group type = Fm-3m
calculated volume = 97 Å³/cell
E above lowest polymorph = 172 meV per atom

```
&SYSTEM
  ibrav = 0, nat = 4, ntyp = 3
/
ATOMIC_SPECIES
Ge 72.64 Ge.upf
Te 127.60 Te.upf
Se 78.96 Se.upf
CELL_PARAMETERS angstrom
0.000 3.650 3.650
3.650 0.000 3.650
3.650 3.650 0.000
ATOMIC_POSITIONS angstrom
Ge 0.000 0.000 0.000
Te 1.825 1.825 1.825
Te 5.475 5.475 5.475
Se 3.650 3.650 3.650
```



Ge3Te5Se12 | GGA-PBE | relaxed Values from VASP.

## Properties
magnetic moment = 0.00 μB per formula unit
space-group type = Ia-3d
E_tot = -271.90 eV for the cell shown
calculated volume = 2399 Å³/cell

```
&SYSTEM
  ibrav = 0, nat = 80, ntyp = 3
/
ATOMIC_SPECIES
Ge 72.64 Ge.upf
Te 127.60 Te.upf
Se 78.96 Se.upf
CELL_PARAMETERS angstrom
-8.433 8.433 8.433
8.433 -8.433 8.433
8.433 8.433 -8.433
ATOMIC_POSITIONS angstrom
Ge 4.217 2.108 0.000
Ge 8.433 4.217 -2.108
Ge 2.108 0.000 4.217
Ge 10.542 0.000 4.217
Ge 0.000 4.217 2.108
Ge 4.217 -2.108 8.433
Ge 4.217 10.542 0.000
Ge 8.433 4.217 6.325
Ge -2.108 8.433 4.217
Ge 6.325 8.433 4.217
Ge 0.000 4.217 10.542
Ge 4.217 6.325 8.433
Te 0.000 0.000 0.000
Te 4.217 4.217 -4.217
Te 4.217 -4.217 4.217
Te 8.433 0.000 0.000
Te 12.650 2.108 0.000
Te 8.433 -4.217 6.325
Te 6.325 8.433 -4.217
Te 6.325 0.000 4.217
Te 4.217 6.325 0.000
Te 8.433 4.217 2.108
Te -4.217 4.217 4.217
Te 0.000 8.433 0.000
Te 0.000 0.000 8.433
Te 4.217 4.217 4.217
Te 0.000 4.217 6.325
Te 4.217 2.108 8.433
Te 2.108 8.433 4.217
Te 2.108 0.000 12.650
Te 0.000 12.650 2.108
Te -4.217 6.325 8.433
Se 2.623 -0.182 1.168
Se 10.027 5.385 -4.399
Se 11.057 0.182 1.168
Se 10.027 -3.049 4.399
Se 8.251 -1.168 2.623
Se 12.832 -1.593 3.049
Se 1.168 2.623 -0.182
Se 11.482 4.034 -1.593
Se 5.385 4.399 -1.593
Se 7.265 2.623 0.182
Se -0.182 1.168 2.623
Se 4.399 -1.593 5.385
Se 8.251 7.265 -2.623
Se 4.399 1.593 3.049
Se 5.385 -4.399 10.027
Se 7.265 -2.623 8.251
Se 3.049 4.399 1.593
Se 9.601 5.810 0.182
Se 4.399 10.027 -3.049
Se 8.251 1.168 5.810
Se 2.623 8.251 -1.168
Se 10.027 3.049 4.034
Se 1.593 3.049 4.399
Se 2.623 0.182 7.265
Se 5.810 8.251 1.168
Se 6.840 5.385 4.034
Se -1.593 5.385 4.399
Se 5.810 0.182 9.601
Se 0.182 7.265 2.623
Se 4.034 -1.593 11.482
Se -1.168 2.623 8.251
Se 5.385 4.034 6.840
Se 1.168 11.057 0.182
Se 3.049 12.832 -1.593
Se 4.034 6.840 5.385
Se 0.182 1.168 11.057
Se 4.034 10.027 3.049
Se 8.616 7.265 5.810
Se 1.168 5.810 8.251
Se 3.049 4.034 10.027
Se -3.049 4.399 10.027
Se 7.265 5.810 8.616
Se -4.399 10.027 5.385
Se 0.182 9.601 5.810
Se -1.593 11.482 4.034
Se -2.623 8.251 7.265
Se -1.593 3.049 12.832
Se 5.810 8.616 7.265
```



GeTeSe2 | GGA-PBE | relaxed Values from VASP.

## Properties
magnetic moment = 0.00 μB per formula unit
space-group type = Fm-3m
calculated volume = 89 Å³/cell
E above lowest polymorph = 340 meV per atom

```
&SYSTEM
  ibrav = 0, nat = 4, ntyp = 3
/
ATOMIC_SPECIES
Ge 72.64 Ge.upf
Te 127.60 Te.upf
Se 78.96 Se.upf
CELL_PARAMETERS angstrom
0.000 3.550 3.550
3.550 0.000 3.550
3.550 3.550 0.000
ATOMIC_POSITIONS angstrom
Ge 0.000 0.000 0.000
Te 3.550 3.550 3.550
Se 1.775 1.775 1.775
Se 5.324 5.324 5.324
```



Ge2TeSe4 | GGA-PBE | relaxed Values from VASP.

## Properties
magnetic moment = 0.00 μB per formula unit
space-group type = I4/m
E_tot = -26.76 eV for the cell shown
calculated volume = 195 Å³/cell

```
&SYSTEM
  ibrav = 0, nat = 7, ntyp = 3
/
ATOMIC_SPECIES
Ge 72.64 Ge.upf
Te 127.60 Te.upf
Se 78.96 Se.upf
CELL_PARAMETERS angstrom
-3.795 3.795 3.390
3.795 -3.795 3.390
3.795 3.795 -3.390
ATOMIC_POSITIONS angstrom
Ge 3.795 0.000 1.695
Ge 0.000 3.795 1.695
Te 0.000 0.000 0.000
Se 2.441 1.421 0.000
Se 2.374 -1.354 3.390
Se 1.421 5.149 0.000
Se 1.354 2.374 3.390
```



GeTeSe2 | GGA-PBE | relaxed Values from VASP.

## Properties
magnetic moment = 0.00 μB per formula unit
space-group type = R-3m
calculated volume = 109 Å³/cell
E above lowest polymorph = 87 meV per atom

```
&SYSTEM
  ibrav = 0, nat = 4, ntyp = 3
/
ATOMIC_SPECIES
Ge 72.64 Ge.upf
Te 127.60 Te.upf
Se 78.96 Se.upf
CELL_PARAMETERS angstrom
1.913 1.105 8.561
-1.913 1.105 8.561
0.000 -2.209 8.561
ATOMIC_POSITIONS angstrom
Ge 0.000 0.000 0.000
Te 0.000 0.000 12.842
Se 0.000 0.000 10.112
Se 0.000 0.000 15.572
```



Ge4Te2Se5 | GGA-PBE | relaxed Values from VASP.

## Properties
magnetic moment = 0.00 μB per formula unit
space-group type = C2/m
E_tot = -41.43 eV for the cell shown
calculated volume = 307 Å³/cell

```
&SYSTEM
  ibrav = 0, nat = 11, ntyp = 3
/
ATOMIC_SPECIES
Ge 72.64 Ge.upf
Te 127.60 Te.upf
Se 78.96 Se.upf
CELL_PARAMETERS angstrom
7.337 -2.902 0.000
7.337 2.902 0.000
-3.862 0.000 7.216
ATOMIC_POSITIONS angstrom
Ge 1.218 0.000 2.046
Ge -0.920 0.000 6.687
Ge 11.733 0.000 0.529
Ge 9.595 0.000 5.170
Te 1.131 0.000 4.811
Te 9.682 0.000 2.405
Se 6.213 1.413 1.528
Se 4.600 1.413 5.688
Se 5.406 0.000 3.608
Se 6.213 -1.413 1.528
Se 4.600 -1.413 5.688
```



Ge3TeSe2 | GGA-PBE | relaxed Values from VASP.

## Properties
magnetic moment = 0.00 μB per formula unit
space-group type = Cmc2_1
calculated volume = 395 Å³/cell
E above lowest polymorph = 27 meV per atom

```
&SYSTEM
  ibrav = 0, nat = 12, ntyp = 3
/
ATOMIC_SPECIES
Ge 72.64 Ge.upf
Te 127.60 Te.upf
Se 78.96 Se.upf
CELL_PARAMETERS angstrom
5.697 -5.725 0.000
5.697 5.725 0.000
0.000 0.000 6.063
ATOMIC_POSITIONS angstrom
Ge 3.745 2.028 5.871
Ge 5.697 3.677 3.031
Ge 7.649 2.028 5.871
Ge 3.745 -2.028 2.840
Ge 5.697 -3.677 0.000
Ge 7.649 -2.028 2.840
Te 5.697 3.963 0.140
Te 5.697 -3.963 3.171
Se 3.803 1.960 3.194
Se 7.590 1.960 3.194
Se 3.803 -1.960 0.162
Se 7.590 -1.960 0.162
```



GeTeSe2 | GGA-PBE | relaxed Values from VASP.

## Properties
magnetic moment = 0.00 μB per formula unit
space-group type = I-42d
calculated volume = 211 Å³/cell
E above lowest polymorph = 221 meV per atom

```
&SYSTEM
  ibrav = 0, nat = 8, ntyp = 3
/
ATOMIC_SPECIES
Ge 72.64 Ge.upf
Te 127.60 Te.upf
Se 78.96 Se.upf
CELL_PARAMETERS angstrom
-3.725 3.725 3.806
3.725 -3.725 3.806
3.725 3.725 -3.806
ATOMIC_POSITIONS angstrom
Ge 0.000 0.000 0.000
Ge 0.000 3.725 1.903
Te 3.725 0.000 1.903
Te 0.000 0.000 3.806
Se 1.862 1.683 -0.952
Se 2.042 -1.862 4.758
Se 1.862 2.042 2.855
Se 1.683 5.587 0.952
```



Ge5Te3Se12 | GGA-PBE | relaxed Values from VASP.

## Properties
magnetic moment = 0.00 μB per formula unit
space-group type = Ia-3d
E_tot = -294.36 eV for the cell shown
calculated volume = 2241 Å³/cell

```
&SYSTEM
  ibrav = 0, nat = 80, ntyp = 3
/
ATOMIC_SPECIES
Ge 72.64 Ge.upf
Te 127.60 Te.upf
Se 78.96 Se.upf
CELL_PARAMETERS angstrom
-8.243 8.243 8.243
8.243 -8.243 8.243
8.243 8.243 -8.243
ATOMIC_POSITIONS angstrom
Ge 0.000 0.000 0.000
Ge 4.122 4.122 -4.122
Ge 4.122 -4.122 4.122
Ge 8.243 0.000 0.000
Ge 12.365 2.061 0.000
Ge 8.243 -4.122 6.182
Ge 6.182 8.243 -4.122
Ge 6.182 0.000 4.122
Ge 4.122 6.182 0.000
Ge 8.243 4.122 2.061
Ge -4.122 4.122 4.122
Ge 0.000 8.243 0.000
Ge 0.000 0.000 8.243
Ge 4.122 4.122 4.122
Ge 0.000 4.122 6.182
Ge 4.122 2.061 8.243
Ge 2.061 8.243 4.122
Ge 2.061 0.000 12.365
Ge 0.000 12.365 2.061
Ge -4.122 6.182 8.243
Te 4.122 2.061 0.000
Te 8.243 4.122 -2.061
Te 2.061 0.000 4.122
Te 10.304 0.000 4.122
Te 0.000 4.122 2.061
Te 4.122 -2.061 8.243
Te 4.122 10.304 0.000
Te 8.243 4.122 6.182
Te -2.061 8.243 4.122
Te 6.182 8.243 4.122
Te 0.000 4.122 10.304
Te 4.122 6.182 8.243
Se 2.583 -0.377 0.864
Se 9.781 4.985 -4.498
Se 10.827 0.377 0.864
Se 9.781 -3.258 4.498
Se 7.867 -0.864 2.583
Se 12.741 -1.538 3.258
Se 0.864 2.583 -0.377
Se 11.501 3.745 -1.538
Se 4.985 4.498 -1.538
Se 7.379 2.583 0.377
Se -0.377 0.864 2.583
Se 4.498 -1.538 4.985
Se 7.867 7.379 -2.583
Se 4.498 1.538 3.258
Se 4.985 -4.498 9.781
Se 7.379 -2.583 7.867
Se 3.258 4.498 1.538
Se 9.107 5.660 0.377
Se 4.498 9.781 -3.258
Se 7.867 0.864 5.660
Se 2.583 7.867 -0.864
Se 9.781 3.258 3.745
Se 1.538 3.258 4.498
Se 2.583 0.377 7.379
Se 5.660 7.867 0.864
Se 6.705 4.985 3.745
Se -1.538 4.985 4.498
Se 5.660 0.377 9.107
Se 0.377 7.379 2.583
Se 3.745 -1.538 11.501
Se -0.864 2.583 7.867
Se 4.985 3.745 6.705
Se 0.864 10.827 0.377
Se 3.258 12.741 -1.538
Se 3.745 6.705 4.985
Se 0.377 0.864 10.827
Se 3.745 9.781 3.258
Se 8.620 7.379 5.660
Se 0.864 5.660 7.867
Se 3.258 3.745 9.781
Se -3.258 4.498 9.781
Se 7.379 5.660 8.620
Se -4.498 9.781 4.985
Se 0.377 9.107 5.660
Se -1.538 11.501 3.745
Se -2.583 7.867 7.379
Se -1.538 3.258 12.741
Se 5.660 8.620 7.379
```



Ge2TeSe2 | GGA-PBE | relaxed Values from VASP.

## Properties
magnetic moment = 0.00 μB per formula unit
space-group type = C2/m
calculated volume = 257 Å³/cell
E above lowest polymorph = 0 meV per atom

```
&SYSTEM
  ibrav = 0, nat = 10, ntyp = 3
/
ATOMIC_SPECIES
Ge 72.64 Ge.upf
Te 127.60 Te.upf
Se 78.96 Se.upf
CELL_PARAMETERS angstrom
10.997 -1.874 0.000
10.997 1.874 0.000
-1.877 0.000 6.235
ATOMIC_POSITIONS angstrom
Ge 2.620 0.000 1.966
Ge 7.416 0.000 1.138
Ge 12.701 0.000 5.097
Ge 17.498 0.000 4.269
Te 4.104 0.000 4.665
Te 16.013 0.000 1.570
Se 0.012 0.000 5.715
Se 8.176 0.000 3.627
Se 11.941 0.000 2.608
Se 20.105 0.000 0.519
```